Record 1
First-principles (GGA-PBE) data for an optimized crystal structure of Dy6HgOs2, as listed in the Alexandria database.

Results
Size of the total moment in μB/f.u.: 0.00
E in eV per atom: -5.8886
ΔE_f in eV/atom: -0.29
DOS(E_F) in states/eV/f.u.: 9.2

Cell: 8.474 8.474 8.474 Å, 112.36 112.29 103.90°
Element x y z (fractional)
1 Dy 0.017 0.831 0.186
2 Dy 0.244 0.540 0.296
3 Dy 0.244 0.947 0.704
4 Dy 0.280 0.316 0.596
5 Dy 0.280 0.684 0.964
6 Dy 0.355 0.169 0.186
7 Dy 0.645 0.831 0.814
8 Dy 0.720 0.316 0.036
9 Dy 0.720 0.684 0.404
10 Dy 0.756 0.053 0.296
11 Dy 0.756 0.460 0.704
12 Dy 0.983 0.169 0.814
13 Hg 0.000 0.500 0.500
14 Hg 0.500 0.000 0.500
15 Os 0.000 0.172 0.172
16 Os 0.000 0.828 0.828
17 Os 0.379 0.379 0.000
18 Os 0.621 0.621 0.000


Record 2
First-principles (GGA-PBE) data for an optimized crystal structure of Dy6HgOs, as listed in the Alexandria database.

Results
Size of the total moment in μB/f.u.: 0.00
E in eV per atom: -4.9960
ΔE_f in eV/atom: -0.10
DOS(E_F) in states/eV/f.u.: 10.5

Cell: 5.054 5.054 17.199 Å, 90.00 90.00 90.00°
Element x y z (fractional)
1 Dy 0.000 0.000 0.249
2 Dy 0.000 0.000 0.751
3 Dy 0.000 0.500 0.099
4 Dy 0.000 0.500 0.401
5 Dy 0.000 0.500 0.599
6 Dy 0.000 0.500 0.901
7 Dy 0.500 0.000 0.099
8 Dy 0.500 0.000 0.401
9 Dy 0.500 0.000 0.599
10 Dy 0.500 0.000 0.901
11 Dy 0.500 0.500 0.251
12 Dy 0.500 0.500 0.749
13 Hg 0.000 0.000 0.500
14 Hg 0.500 0.500 0.000
15 Os 0.000 0.000 0.000
16 Os 0.500 0.500 0.500